First-principles (GGA-PBE) data for KNb2Pd after structural relaxation, as listed in Alexandria via LeMat-Bulk.

SG: I-42d, No. 122
Formation energy from the elements: 1.14 eV per atom

a = 10.847 Å, b = 10.847 Å, c = 10.847 Å
α = 156.69°, β = 156.69°, γ = 33.21°
Element x y z (fractional)
K: 0.000 0.000 0.000
K: 0.750 0.250 0.500
Nb: 0.256 0.625 0.131
Nb: 0.375 0.506 0.631
Nb: 0.494 0.125 0.869
Nb: 0.875 0.744 0.369
Pd: 0.250 0.750 0.500
Pd: 0.500 0.500 0.000

***

First-principles (GGA-PBE) data for KNbPd after structural relaxation, as listed in Alexandria via LeMat-Bulk.

SG: P-1, No. 2
Formation energy from the elements: 0.05 eV per atom

a = 3.345 Å, b = 3.363 Å, c = 13.849 Å
α = 91.28°, β = 90.65°, γ = 90.00°
Element x y z (fractional)
K: 0.234 0.218 0.155
K: 0.766 0.782 0.845
Nb: 0.247 0.244 0.438
Nb: 0.753 0.756 0.562
Pd: 0.258 0.265 0.661
Pd: 0.742 0.735 0.339

***

First-principles (GGA-PBE) data for KNb2Pd after structural relaxation, as listed in Alexandria via LeMat-Bulk.

SG: Fm-3m, No. 225
Formation energy from the elements: 1.14 eV per atom

a = 4.748 Å, b = 4.748 Å, c = 4.748 Å
α = 60.00°, β = 60.00°, γ = 60.00°
Element x y z (fractional)
K: 0.000 0.000 0.000
Nb: 0.250 0.250 0.250
Nb: 0.750 0.750 0.750
Pd: 0.500 0.500 0.500

***

First-principles (GGA-PBE) data for KNbPd after structural relaxation, as listed in Alexandria via LeMat-Bulk.

SG: Cmcm, No. 63
Formation energy from the elements: 0.42 eV per atom

a = 7.430 Å, b = 7.430 Å, c = 4.691 Å
α = 90.00°, β = 90.00°, γ = 145.19°
Element x y z (fractional)
K: 0.246 0.754 0.750
K: 0.754 0.246 0.250
Nb: 0.034 0.966 0.250
Nb: 0.966 0.034 0.750
Pd: 0.438 0.562 0.250
Pd: 0.562 0.438 0.750

***

First-principles (GGA-PBE) data for K2NbPd after structural relaxation, as listed in Alexandria via LeMat-Bulk.

SG: I-42d, No. 122
Energy above the lowest structure with this stoichiometry: 0.00 kJ/mol of atoms
Formation energy from the elements: 0.95 eV per atom

a = 8.869 Å, b = 8.869 Å, c = 8.869 Å
α = 94.73°, β = 94.73°, γ = 146.64°
Element x y z (fractional)
K: 0.375 0.218 0.343
K: 0.782 0.125 0.157
K: 0.875 0.032 0.657
K: 0.968 0.625 0.843
Nb: 0.250 0.750 0.500
Nb: 0.500 0.500 0.000
Pd: 0.000 0.000 0.000
Pd: 0.750 0.250 0.500

***

First-principles (GGA-PBE) data for K2NbPd after structural relaxation, as listed in Alexandria via LeMat-Bulk.

SG: Fm-3m, No. 225
Energy above the lowest structure with this stoichiometry: 32.25 kJ/mol of atoms
Formation energy from the elements: 1.28 eV per atom

a = 5.585 Å, b = 5.585 Å, c = 5.585 Å
α = 60.00°, β = 60.00°, γ = 60.00°
Element x y z (fractional)
K: 0.250 0.250 0.250
K: 0.750 0.750 0.750
Nb: 0.000 0.000 0.000
Pd: 0.500 0.500 0.500

***

First-principles (GGA-PBE) data for KNbPd after structural relaxation, as listed in Alexandria via LeMat-Bulk.

SG: P1, No. 1
Formation energy from the elements: 0.44 eV per atom

a = 2.992 Å, b = 2.992 Å, c = 7.989 Å
α = 100.58°, β = 100.72°, γ = 90.00°
Element x y z (fractional)
K: 0.000 0.000 0.000
Nb: 0.720 0.725 0.436
Pd: 0.333 0.336 0.663

***

First-principles (GGA-PBE) data for KNbPd after structural relaxation, as listed in Alexandria via LeMat-Bulk.

SG: P2_1/m, No. 11
Formation energy from the elements: 0.27 eV per atom

a = 4.024 Å, b = 3.981 Å, c = 12.016 Å
α = 90.00°, β = 98.09°, γ = 90.00°
Element x y z (fractional)
K: 0.177 0.250 0.332
K: 0.823 0.750 0.668
Nb: 0.029 0.750 0.076
Nb: 0.971 0.250 0.924
Pd: 0.465 0.750 0.918
Pd: 0.535 0.250 0.082

***

First-principles (GGA-PBE) data for K2NbPdSe4 after structural relaxation, as listed in Alexandria via LeMat-Bulk.

SG: Fddd, No. 70
E_form (uncorrected): -7.22 eV/f.u.

a = 13.451 Å, b = 11.861 Å, c = 7.599 Å
α = 84.43°, β = 61.36°, γ = 34.22°
Element x y z (fractional)
K: 0.054 0.054 0.696
K: 0.304 0.304 0.946
K: 0.696 0.696 0.054
K: 0.946 0.946 0.304
Nb: 0.375 0.375 0.375
Nb: 0.625 0.625 0.625
Pd: 0.125 0.125 0.125
Pd: 0.875 0.875 0.875
Se: 0.029 0.338 0.434
Se: 0.302 0.566 0.662
Se: 0.338 0.029 0.698
Se: 0.434 0.698 0.029
Se: 0.566 0.302 0.971
Se: 0.662 0.971 0.302
Se: 0.698 0.434 0.338
Se: 0.971 0.662 0.566

***

First-principles (GGA-PBE) data for K3NbPd2Se6 after structural relaxation, as listed in Alexandria via LeMat-Bulk.

SG: C2/m, No. 12
E_form (uncorrected): -7.90 eV/f.u.

a = 6.946 Å, b = 6.946 Å, c = 7.648 Å
α = 98.57°, β = 98.57°, γ = 120.33°
Element x y z (fractional)
K: 0.000 0.000 0.000
K: 0.332 0.668 0.000
K: 0.668 0.332 0.000
Nb: 0.500 0.500 0.500
Pd: 0.166 0.834 0.500
Pd: 0.834 0.166 0.500
Se: 0.106 0.439 0.322
Se: 0.228 0.228 0.679
Se: 0.439 0.106 0.322
Se: 0.561 0.894 0.678
Se: 0.772 0.772 0.321
Se: 0.894 0.561 0.678

***

First-principles (GGA-PBE) data for KNbTe3Pd after structural relaxation, as listed in Alexandria via LeMat-Bulk.

SG: P2_1/m, No. 11
E_form (uncorrected): -3.74 eV/f.u.

a = 8.953 Å, b = 3.957 Å, c = 10.761 Å
α = 90.00°, β = 114.23°, γ = 90.00°
Element x y z (fractional)
K: 0.016 0.250 0.286
K: 0.984 0.750 0.714
Nb: 0.465 0.250 0.181
Nb: 0.535 0.750 0.819
Te: 0.225 0.750 0.136
Te: 0.304 0.750 0.558
Te: 0.336 0.250 0.881
Te: 0.664 0.750 0.119
Te: 0.696 0.250 0.442
Te: 0.775 0.250 0.864
Pd: 0.468 0.750 0.387
Pd: 0.532 0.250 0.613

***

First-principles (GGA-PBE) data for K3Pm3NbS8 after structural relaxation, as listed in Alexandria via LeMat-Bulk.

SG: R-3m, No. 166
E_form (uncorrected): -24.42 eV/f.u.

a = 8.848 Å, b = 8.848 Å, c = 8.848 Å
α = 54.17°, β = 54.17°, γ = 54.17°
Element x y z (fractional)
K: 0.000 0.500 0.500
K: 0.500 0.000 0.500
K: 0.500 0.500 0.000
Pm: 0.000 0.000 0.500
Pm: 0.000 0.500 0.000
Pm: 0.500 0.000 0.000
Nb: 0.500 0.500 0.500
S: 0.236 0.236 0.236
S: 0.260 0.716 0.716
S: 0.284 0.284 0.740
S: 0.284 0.740 0.284
S: 0.716 0.260 0.716
S: 0.716 0.716 0.260
S: 0.740 0.284 0.284
S: 0.764 0.764 0.764

***

Calculated values (eV per atom) of total DFT energy (no corrections) for the records, taken in order: -5.471 -5.404 -5.469 -5.035 -3.415 -3.081 -5.009 -5.182 -4.827 -4.380 -4.921 -5.671.